Below is crystalline TiIO2F at its relaxed geometry, with properties calculated at the GGA-PBE level.

a b c (Å): 4.335 4.335 4.019
angles (deg): 90.00 90.00 90.00
Fractional coordinates of all 5 atoms:
Ti 0.000 0.000 0.000
I 0.500 0.500 0.000
O 0.000 0.500 0.500
O 0.500 0.000 0.500
F 0.500 0.500 0.500

## Properties
- E_form (uncorrected): 403.0 meV per atom